No. 1
This record from Alexandria describes an optimized crystal structure of CrNiS2N. The functional is PBE-GGA.

Lattice parameters (Å, degrees): 4.6203 4.6203 3.3627 90.00 90.00 90.00
Last column: nearest neighbours and their distance in Å.
Fractional coordinates of all 5 atoms:
Ni 0.0000 0.0000 0.0000  2 N 1.68
S 0.0000 0.5000 0.0000  2 Ni 2.31
S 0.5000 0.0000 0.0000  2 Ni 2.31
N 0.0000 0.0000 0.5000  2 Ni 1.68
Cr 0.5000 0.5000 0.5000  8 S 2.86

- SG: P4/mmm
- Formation energy from raw total energies: 914.3 meV/atom
- Fermi-level density of states: 1.10 states/eV per atom
- Energy above the most stable polymorph in this dataset: 442 meV/atom


No. 2
This record from Alexandria describes an optimized crystal structure of HoGe2Rh3. The functional is PBE-GGA.

Lattice parameters (Å, degrees): 3.9753 3.9753 8.1175 104.17 104.17 90.00
Last column: nearest neighbours and their distance in Å.
Fractional coordinates of all 6 atoms:
Ho 0.0000 0.0000 0.0000  4 Rh 2.81
Ge 0.6573 0.6573 0.3146  5 Rh 2.40-2.44
Ge 0.3427 0.3427 0.6854  5 Rh 2.40-2.44
Rh 0.7500 0.2500 0.5000  4 Ge 2.44
Rh 0.5000 0.5000 0.0000  2 Ge 2.40
Rh 0.2500 0.7500 0.5000  4 Ge 2.44

- SG: I4/mmm
- Fermi-level density of states: 0.34 states/eV per atom
- Energy of formation from the pure elements: -324 kJ/mol of formula units


No. 3
This record from Alexandria describes an optimized crystal structure of NdSmMgTc. The functional is PBE-GGA.

Lattice parameters (Å, degrees): 5.1601 5.1601 5.1601 60.00 60.00 60.00
Last column: nearest neighbours and their distance in Å.
Fractional coordinates of all 4 atoms:
Mg 0.0000 0.0000 0.0000  4 Sm 3.16, 4 Nd 3.16
Nd 0.7500 0.7500 0.7500  4 Mg 3.16, 4 Tc 3.16
Tc 0.5000 0.5000 0.5000  4 Nd 3.16, 4 Sm 3.16
Sm 0.2500 0.2500 0.2500  4 Tc 3.16, 4 Mg 3.16

- SG: F-43m
- Fermi-level density of states: 0.62 states/eV per atom
- Energy of formation from the pure elements: 32 kJ/mol of formula units


No. 4
This record from Alexandria describes an optimized crystal structure of Co2AgCl. The functional is PBE-GGA.

Lattice parameters (Å, degrees): 5.2563 5.2563 5.2563 138.67 138.67 59.88
Last column: nearest neighbours and their distance in Å.
Fractional coordinates of all 4 atoms:
Co 0.0000 0.0000 0.0000  4 Co 2.62, 4 Cl 2.94, 4 Ag 2.94
Co 0.5000 0.5000 0.0000  4 Co 2.62, 4 Cl 2.94, 4 Ag 2.94
Ag 0.2500 0.7500 0.5000  4 Cl 2.62, 8 Co 2.94
Cl 0.7500 0.2500 0.5000  4 Ag 2.62, 8 Co 2.94

- SG: I4/mmm
- Formation energy from raw total energies: 800.3 meV/atom
- Fermi-level density of states: 1.50 states/eV per atom
- Energy above the most stable polymorph in this dataset: 598 meV/atom


No. 5
This record from Alexandria describes an optimized crystal structure of Tl3Cr2. The functional is PBE-GGA.

Lattice parameters (Å, degrees): 11.7878 11.7878 11.7878 16.58 16.58 16.58
Last column: nearest neighbours and their distance in Å.
Fractional coordinates of all 5 atoms:
Tl 0.0000 0.0000 0.0000  6 Cr 2.95
Tl 0.7949 0.7949 0.7949  3 Cr 3.00, 3 Tl 3.32
Tl 0.2051 0.2051 0.2051  3 Cr 3.00, 3 Tl 3.32
Cr 0.3964 0.3964 0.3964  6 Tl 2.95-3.00
Cr 0.6036 0.6036 0.6036  6 Tl 2.95-3.00

- SG: R-3m
- Fermi-level density of states: 0.32 states/eV per atom
- Energy of formation from the pure elements: 291 kJ/mol of formula units
- Energy above the most stable polymorph in this dataset: 0 meV/atom


What did the second record say?
This record from Alexandria describes an optimized crystal structure of HoGe2Rh3. The functional is PBE-GGA.

Lattice parameters (Å, degrees): 3.9753 3.9753 8.1175 104.17 104.17 90.00
Last column: nearest neighbours and their distance in Å.
Fractional coordinates of all 6 atoms:
Ho 0.0000 0.0000 0.0000  4 Rh 2.81
Ge 0.6573 0.6573 0.3146  5 Rh 2.40-2.44
Ge 0.3427 0.3427 0.6854  5 Rh 2.40-2.44
Rh 0.7500 0.2500 0.5000  4 Ge 2.44
Rh 0.5000 0.5000 0.0000  2 Ge 2.40
Rh 0.2500 0.7500 0.5000  4 Ge 2.44

- SG: I4/mmm
- Fermi-level density of states: 0.34 states/eV per atom
- Energy of formation from the pure elements: -324 kJ/mol of formula units